Computed, not measured: Cs2CuI6Cl after structural relaxation at the PBE level of DFT.

Structure (POSCAR):
```
Cs2CuI6Cl
1.0
-4.253 4.253 6.098
4.253 -4.253 6.098
4.253 4.253 -6.098
Cs Cu I Cl
2 1 6 1
Direct
0.250 0.750 0.500
0.750 0.250 0.500
0.000 0.000 0.000
0.213 0.213 0.427
0.213 0.787 0.000
0.280 0.280 0.000
0.720 0.720 0.000
0.787 0.213 0.000
0.787 0.787 0.573
0.500 0.500 0.000
```

- density (g/cm3) = 4.2
- DFT total energy (eV/cell) = -23.349
- total magnetization (μB per cell) = 0.0
- crystal system = tetragonal
- uncorrected formation energy (eV/atom) = -0.64